[1]
The following is a DFT calculation (PBE) of a relaxed structure of Tl2ZnIr.

Output
DOS at the Fermi energy in states/eV/atom: 0.33
Crystal system: orthorhombic
Distance to the lowest polymorph of the same formula in eV/atom: 0.000
Total moment in μB/f.u.: 0.00
DFT total energy in eV/cell: -28.8

Cell lengths 3.0760, 4.1580, 14.5975 Å; angles 90.00, 90.00, 90.00 degrees
With the nearest neighbours (Å) after each atom.
Space group Immm (No. 71)
Unique sites:
Tl 0.0000 0.0000 0.1699 [4 per cell]  2 Ir 2.92, 2 Tl 3.08, 2 Zn 3.24
Zn 0.0000 0.5000 0.0000 [2 per cell]  4 Ir 2.59
Ir 0.0000 0.5000 0.5000 [2 per cell]  4 Zn 2.59

[2]
The following is a DFT calculation (PBE) of a relaxed structure of TbPm2Er4.

Output
DOS at the Fermi energy in states/eV/atom: 1.60
Crystal system: triclinic
Total moment in μB/f.u.: 0.00
DFT total energy in eV/cell: -31.8

Cell lengths 3.5108, 8.5223, 8.5720 Å; angles 62.18, 82.04, 87.94 degrees
With the nearest neighbours (Å) after each atom.
Space group P-1 (No. 2)
Unique sites:
Tb 0.0000 0.0000 0.0000 [1 per cell]  2 Pm 3.24, 4 Er 3.43-3.49, 2 Tb 3.51
Pm 0.4292 0.8707 0.7219 [2 per cell]  1 Tb 3.24, 3 Pm 3.36-3.51, 6 Er 3.48-3.60
Er 0.0326 0.7164 0.4505 [2 per cell]  7 Er 3.39-3.70, 1 Tb 3.49, 4 Pm 3.55-3.60
Er 0.3787 0.4204 0.8438 [2 per cell]  1 Tb 3.43, 2 Pm 3.48-3.52, 7 Er 3.49-3.72

Number 1 is which compound?
Tl2ZnIr

Look up the DFT total energy of the first one.
-28.8 eV/cell